The following is a PBE-GGA calculation of crystalline PrSm6DyY2 at its relaxed geometry, from the Alexandria database.

a b c (Å): 9.425 15.168 9.528
angles (deg): 90.00 95.40 90.00
Space group C2/c (No. 15)
Inequivalent atoms, fractional coordinates:
Pr 0.000 0.036 0.250 x4
Sm 0.063 0.177 0.942 x8
Sm 0.092 0.385 0.115 x8
Sm 0.219 0.225 0.316 x8
Dy 0.000 0.411 0.750 x4
Y 0.247 0.452 0.448 x8

Summary:
Its crystal system is monoclinic. The magnetic moment comes out at 0.0 Bohr magnetons per cell. As for the formation energy from the elements: 0.12 eV/atom. The value obtained for the total DFT energy (no corrections) is -4.943 eV/atom. For the density of states at the Fermi level, the calculation gives 1.474 states/eV per atom.